# 1
A plane-wave DFT calculation with PBE was carried out for a relaxed structure of SrCdRe2.

Computed properties:
- formation energy (eV per formula unit) = 4.20

a b c (Å): 2.7794 2.7794 9.9826
angles (deg): 90.00 90.00 90.00
With the nearest neighbours (Å) after each atom.
Positions (direct):
Cd (0.5000, 0.5000, 0.7500)  4 Cd 2.78, 8 Re 3.03
Re (0.0000, 0.0000, 0.9807)  4 Re 2.78, 4 Cd 3.03
Re (0.0000, 0.0000, 0.5193)  4 Re 2.78, 4 Cd 3.03
Sr (0.5000, 0.5000, 0.2500)  4 Sr 2.78


# 2
A plane-wave DFT calculation with PBE was carried out for a relaxed structure of Tb8YEr2.

Computed properties:
- formation energy (eV per formula unit) = 1.65

a b c (Å): 5.9012 9.0560 9.3902
angles (deg): 61.17 73.57 54.09
With the nearest neighbours (Å) after each atom.
Positions (direct):
Tb (0.8080, 0.0970, 0.2447)  4 Tb 3.20-3.53, 2 Er 3.49-3.51
Tb (0.8080, 0.3417, 0.7553)  4 Tb 3.20-3.53, 2 Er 3.49-3.51
Tb (0.2902, 0.4399, 0.0000)  4 Tb 2.92-3.24
Tb (0.5000, 0.7953, 0.4093)  1 Y 3.37, 4 Er 3.43-3.69, 6 Tb 3.53-3.65
Tb (0.5000, 0.2047, 0.5907)  1 Y 3.37, 4 Er 3.43-3.69, 6 Tb 3.53-3.65
Tb (0.7098, 0.5601, 0.0000)  4 Tb 2.92-3.24
Tb (0.1920, 0.6583, 0.2447)  4 Tb 3.20-3.53, 2 Er 3.49-3.51
Tb (0.1920, 0.9030, 0.7553)  4 Tb 3.20-3.53, 2 Er 3.49-3.51
Y (0.5000, 0.0000, 0.0000)  4 Tb 3.37-3.41
Er (0.0000, 0.3107, 0.3786)  10 Tb 3.43-3.69
Er (0.0000, 0.6893, 0.6214)  10 Tb 3.43-3.69


# 3
A plane-wave DFT calculation with PBE was carried out for a relaxed structure of K2ScCu.

Computed properties:
- formation energy (eV per formula unit) = 2.70
- polymorph energy (0 for the lowest one) (meV per atom) = 420

a b c (Å): 12.0994 12.0994 12.0994
angles (deg): 17.17 17.17 17.17
With the nearest neighbours (Å) after each atom.
Positions (direct):
Cu (0.7500, 0.7500, 0.7500)  6 K 3.25, 6 Cu 3.61
K (0.0136, 0.0136, 0.0136)  3 Cu 3.25, 6 K 3.61
K (0.4864, 0.4864, 0.4864)  3 Cu 3.25, 6 K 3.61
Sc (0.2500, 0.2500, 0.2500)  6 Sc 3.61


# 4
A plane-wave DFT calculation with PBE was carried out for a relaxed structure of MgGeF2.

Computed properties:
- uncorrected formation energy (eV per atom) = -1.93
- polymorph energy (0 for the lowest one) (meV per atom) = 410

a b c (Å): 5.7325 5.7325 6.0575
angles (deg): 61.76 61.76 90.00
With the nearest neighbours (Å) after each atom.
Positions (direct):
Ge (0.0000, 0.0000, 0.0000)  4 F 3.07
Ge (0.7500, 0.2500, 0.5000)  4 F 3.07
Mg (0.5000, 0.5000, 0.0000)  4 F 1.86
Mg (0.2500, 0.7500, 0.5000)  4 F 1.86
F (0.4438, 0.1250, 0.2500)  2 Mg 1.86
F (0.3062, 0.6250, 0.2500)  2 Mg 1.86
F (0.3750, 0.5562, 0.7500)  2 Mg 1.86
F (0.8750, 0.6938, 0.7500)  2 Mg 1.86


# 5
A plane-wave DFT calculation with PBE was carried out for a relaxed structure of KSnAu2.

Computed properties:
- formation energy (eV per formula unit) = -0.56

a b c (Å): 3.6417 3.6417 7.8596
angles (deg): 90.00 90.00 90.00
With the nearest neighbours (Å) after each atom.
Positions (direct):
K (0.5000, 0.5000, 0.5000)  8 Au 3.51, 4 K 3.64, 2 Sn 3.93
Au (0.0000, 0.0000, 0.8037)  4 Sn 3.00, 1 Au 3.09
Au (0.0000, 0.0000, 0.1963)  4 Sn 3.00, 1 Au 3.09
Sn (0.5000, 0.5000, 0.0000)  8 Au 3.00


# 6
A plane-wave DFT calculation with PBE was carried out for a relaxed structure of HfFeCoRh.

Computed properties:
- formation energy (eV per formula unit) = -1.19

a b c (Å): 4.3541 4.3541 4.3541
angles (deg): 60.00 60.00 60.00
With the nearest neighbours (Å) after each atom.
Positions (direct):
Rh (0.7500, 0.7500, 0.7500)  4 Fe 2.67, 4 Hf 2.67
Hf (0.5000, 0.5000, 0.5000)  4 Co 2.67, 4 Rh 2.67
Fe (0.0000, 0.0000, 0.0000)  4 Rh 2.67, 4 Co 2.67
Co (0.2500, 0.2500, 0.2500)  4 Fe 2.67, 4 Hf 2.67